Sm3Dy4Se8 | the Alexandria database | PBE | optimized geometry; E_tot = -5.8753 eV per atom; volume = 392.46 Å³/cell; symmetry = C2/m (12); density of states at the Fermi level = 6.5 states/eV/f.u.; energy relative to the elements, uncorrected = -1.846 eV/atom
1.0
5.809 -5.811 0.000
5.809 5.811 0.000
-5.792 0.000 5.813
Sm Dy Se
3 4 8
direct
0.000 0.000 0.000
0.000 0.500 0.000
0.500 0.000 0.000
0.000 0.500 0.500
0.500 0.000 0.500
0.500 0.500 0.000
0.500 0.500 0.500
0.249 0.751 0.500
0.251 0.251 0.506
0.252 0.252 0.998
0.253 0.747 0.000
0.747 0.253 0.000
0.748 0.748 0.002
0.749 0.749 0.494
0.751 0.249 0.500


SmDySe3 | the Alexandria database | PBE | optimized geometry; E_tot = -5.8044 eV per atom; volume = 267.40 Å³/cell; symmetry = P2_1/m (11); energy relative to the elements, uncorrected = -1.849 eV/atom
1.0
7.210 0.000 0.000
0.000 4.094 0.000
-0.505 0.000 9.059
Sm Dy Se
2 2 6
direct
0.194 0.250 0.155
0.806 0.750 0.845
0.265 0.750 0.607
0.735 0.250 0.393
0.009 0.750 0.345
0.216 0.750 0.934
0.462 0.750 0.324
0.538 0.250 0.676
0.784 0.250 0.066
0.991 0.250 0.655


Sm2Dy3Se6 | the Alexandria database | PBE | optimized geometry; E_tot = -5.8886 eV per atom; excess energy over the best structure of this formula in the dataset = 0 meV per atom; volume = 292.41 Å³/cell; symmetry = C2/m (12); density of states at the Fermi level = 4.4 states/eV/f.u.; energy relative to the elements, uncorrected = -1.875 eV/atom
1.0
3.556 -6.129 0.000
3.556 6.129 0.000
-2.365 0.000 6.707
Sm Dy Se
2 3 6
direct
0.165 0.835 0.000
0.835 0.165 0.000
0.000 0.000 0.500
0.334 0.666 0.500
0.666 0.334 0.500
0.087 0.415 0.745
0.258 0.258 0.251
0.415 0.087 0.745
0.585 0.913 0.255
0.742 0.742 0.749
0.913 0.585 0.255


Q: Which value of energy relative to the elements, uncorrected does entry 3 give?
A: -1.875 eV/atom